1.
GGA-PBE BeTeSe2, relaxed; SG = No. 35; crystal system = orthorhombic; raw total energy = -13.22 eV per formula unit; distance to the lowest polymorph of the same formula = 0.261 eV/atom
1.0
1.799 -3.741 0.000
1.799 3.741 0.000
0.000 0.000 8.077
Be Te Se
1 1 2
Cartesian
0.000 0.000 0.000
1.799 0.000 2.363
0.000 0.000 4.311
1.799 0.000 7.058

2.
GGA-PBE Be2TeSe, relaxed; SG = No. 122; crystal system = tetragonal; raw total energy = -16.32 eV per formula unit; distance to the lowest polymorph of the same formula = 0.000 eV/atom
1.0
-2.714 2.714 5.418
2.714 -2.714 5.418
2.714 2.714 -5.418
Be Te Se
4 2 2
Cartesian
4.071 1.207 -1.355
1.207 1.357 1.355
-1.357 1.507 4.064
1.507 1.357 6.773
2.714 0.000 2.709
0.000 0.000 5.418
0.000 0.000 0.000
0.000 2.714 2.709

3.
GGA-PBE BeTeSe2, relaxed; SG = No. 166; crystal system = trigonal; raw total energy = -13.70 eV per formula unit; distance to the lowest polymorph of the same formula = 0.141 eV/atom
1.0
1.814 1.047 7.106
-1.814 1.047 7.106
0.000 -2.094 7.106
Be Te Se
1 1 2
Cartesian
0.000 0.000 0.000
0.000 0.000 10.658
0.000 0.000 5.852
0.000 0.000 15.465

4.
GGA-PBE BeTeSe2, relaxed; SG = No. 123; crystal system = tetragonal; raw total energy = -12.82 eV per formula unit; distance to the lowest polymorph of the same formula = 0.361 eV/atom
1.0
3.213 0.000 0.000
0.000 3.213 0.000
0.000 0.000 8.292
Be Te Se
1 1 2
Cartesian
0.000 0.000 0.000
0.000 0.000 4.146
1.606 1.606 1.237
1.606 1.606 7.055

5.
GGA-PBE BeTeSe2, relaxed; SG = No. 65; crystal system = orthorhombic; raw total energy = -13.38 eV per formula unit; distance to the lowest polymorph of the same formula = 0.220 eV/atom
1.0
1.719 -3.282 0.000
1.719 3.282 0.000
0.000 0.000 8.042
Be Te Se
1 1 2
Cartesian
0.000 0.000 0.000
0.000 0.000 4.021
1.719 0.000 1.421
1.719 0.000 6.621

6.
GGA-PBE Be2TeSe, relaxed; SG = No. 119; crystal system = tetragonal; raw total energy = -13.02 eV per formula unit; distance to the lowest polymorph of the same formula = 0.824 eV/atom
1.0
-1.718 1.718 9.367
1.718 -1.718 9.367
1.718 1.718 -9.367
Be Te Se
2 1 1
Cartesian
0.000 0.000 0.000
0.000 1.718 4.683
0.000 0.000 9.367
1.718 0.000 4.683

7.
GGA-PBE BeTeSe2, relaxed; SG = No. 8; crystal system = monoclinic; raw total energy = -13.88 eV per formula unit; distance to the lowest polymorph of the same formula = 0.095 eV/atom
1.0
5.705 -1.755 0.000
5.705 1.755 0.000
-1.391 0.000 4.533
Be Te Se
1 1 2
Cartesian
0.000 0.000 0.000
8.237 0.000 2.693
4.897 0.000 1.135
5.922 0.000 4.086

8.
GGA-PBE Be4TeSe, relaxed; SG = No. 216; crystal system = cubic; raw total energy = -17.56 eV per formula unit
1.0
0.000 3.478 3.478
3.478 0.000 3.478
3.478 3.478 0.000
Be Te Se
4 1 1
Cartesian
0.865 0.865 0.865
2.614 2.614 0.865
2.614 0.865 2.614
0.865 2.614 2.614
3.478 3.478 3.478
5.217 5.217 5.217

9.
GGA-PBE BeTeSe2, relaxed; SG = No. 6; crystal system = monoclinic; raw total energy = -13.93 eV per formula unit; distance to the lowest polymorph of the same formula = 0.082 eV/atom
1.0
4.768 0.000 0.000
0.000 3.652 0.000
-2.193 0.000 5.196
Be Te Se
1 1 2
Cartesian
0.000 0.000 0.000
3.288 1.826 1.613
-0.875 1.826 5.067
1.595 0.000 3.242

10.
GGA-PBE BeTeSe2, relaxed; SG = No. 119; crystal system = tetragonal; raw total energy = -12.18 eV per formula unit; distance to the lowest polymorph of the same formula = 0.520 eV/atom
1.0
-1.877 1.877 8.486
1.877 -1.877 8.486
1.877 1.877 -8.486
Be Te Se
1 1 2
Cartesian
0.000 0.000 0.000
0.000 1.877 4.243
1.877 0.000 4.243
0.000 0.000 8.486

11.
GGA-PBE Be2TeSe, relaxed; SG = No. 216; crystal system = cubic; raw total energy = -10.30 eV per formula unit; distance to the lowest polymorph of the same formula = 1.506 eV/atom
1.0
0.000 3.326 3.326
3.326 0.000 3.326
3.326 3.326 0.000
Be Te Se
2 1 1
Cartesian
0.000 0.000 0.000
1.663 1.663 1.663
4.988 4.988 4.988
3.326 3.326 3.326

12.
GGA-PBE Be2TeSe, relaxed; SG = No. 35; crystal system = orthorhombic; raw total energy = -15.11 eV per formula unit; distance to the lowest polymorph of the same formula = 0.303 eV/atom
1.0
1.917 -4.530 0.000
1.917 4.530 0.000
0.000 0.000 7.592
Be Te Se
2 1 1
Cartesian
0.000 0.000 0.000
1.917 0.000 1.116
0.000 0.000 2.427
1.917 0.000 6.542